Entry 1:
TiAg3Sb: relaxed, PBE-GGA.

abc: 5.038 5.038 5.038
angles: 90.00 90.00 90.00
Positions (direct):
Ti (0.000, 0.000, 0.000)
Ag (0.000, 0.000, 0.500)
Ag (0.000, 0.500, 0.000)
Ag (0.500, 0.000, 0.000)
Sb (0.500, 0.500, 0.500)

Entry 2:
TiAgSb3: relaxed, PBE-GGA.

abc: 5.246 5.246 5.246
angles: 90.00 90.00 90.00
Positions (direct):
Ti (0.000, 0.000, 0.000)
Ag (0.500, 0.500, 0.500)
Sb (0.000, 0.000, 0.500)
Sb (0.000, 0.500, 0.000)
Sb (0.500, 0.000, 0.000)

Entry 3:
Ti2Ag2Sb: relaxed, PBE-GGA.

abc: 7.819 7.819 3.134
angles: 90.00 90.00 90.00
Positions (direct):
Ti (0.170, 0.330, 0.000)
Ti (0.330, 0.830, 0.000)
Ti (0.670, 0.170, 0.000)
Ti (0.830, 0.670, 0.000)
Ag (0.125, 0.625, 0.500)
Ag (0.375, 0.125, 0.500)
Ag (0.625, 0.875, 0.500)
Ag (0.875, 0.375, 0.500)
Sb (0.000, 0.000, 0.500)
Sb (0.500, 0.500, 0.500)

Entry 4:
Ti2Ag2Sb: relaxed, PBE-GGA.

abc: 6.962 6.962 4.171
angles: 90.00 90.00 90.00
Positions (direct):
Ti (0.136, 0.364, 0.000)
Ti (0.364, 0.864, 0.000)
Ti (0.636, 0.136, 0.000)
Ti (0.864, 0.636, 0.000)
Ag (0.149, 0.649, 0.500)
Ag (0.351, 0.149, 0.500)
Ag (0.649, 0.851, 0.500)
Ag (0.851, 0.351, 0.500)
Sb (0.000, 0.000, 0.000)
Sb (0.500, 0.500, 0.000)

Entry 5:
Ti5AgSb2: relaxed, PBE-GGA.

abc: 5.432 5.432 13.373
angles: 90.00 90.00 128.81
Positions (direct):
Ti (0.051, 0.949, 0.750)
Ti (0.114, 0.886, 0.041)
Ti (0.114, 0.886, 0.459)
Ti (0.421, 0.579, 0.087)
Ti (0.421, 0.579, 0.413)
Ti (0.579, 0.421, 0.587)
Ti (0.579, 0.421, 0.913)
Ti (0.886, 0.114, 0.541)
Ti (0.886, 0.114, 0.959)
Ti (0.949, 0.051, 0.250)
Ag (0.249, 0.751, 0.250)
Ag (0.751, 0.249, 0.750)
Sb (0.289, 0.711, 0.623)
Sb (0.289, 0.711, 0.877)
Sb (0.711, 0.289, 0.123)
Sb (0.711, 0.289, 0.377)

Entry 6:
TiTlAg2Sb: relaxed, PBE-GGA.

abc: 5.093 5.093 5.339
angles: 90.00 90.00 90.00
Positions (direct):
Ti (0.000, 0.000, 0.000)
Tl (0.000, 0.000, 0.500)
Ag (0.000, 0.500, 0.000)
Ag (0.500, 0.000, 0.000)
Sb (0.500, 0.500, 0.500)

Entry 7:
Tl4AgSb: relaxed, PBE-GGA.

abc: 6.387 6.387 6.387
angles: 60.00 60.00 60.00
Positions (direct):
Tl (0.125, 0.125, 0.125)
Tl (0.125, 0.125, 0.625)
Tl (0.125, 0.625, 0.125)
Tl (0.625, 0.125, 0.125)
Ag (0.750, 0.750, 0.750)
Sb (0.500, 0.500, 0.500)

Entry 8:
Tl6AgSb2: relaxed, PBE-GGA.

abc: 11.575 11.575 11.575
angles: 26.92 26.92 26.92
Positions (direct):
Tl (0.058, 0.058, 0.058)
Tl (0.198, 0.198, 0.198)
Tl (0.313, 0.313, 0.313)
Tl (0.687, 0.687, 0.687)
Tl (0.802, 0.802, 0.802)
Tl (0.942, 0.942, 0.942)
Ag (0.500, 0.500, 0.500)
Sb (0.418, 0.418, 0.418)
Sb (0.582, 0.582, 0.582)

Entry 9:
Tl2Ag2Sb: relaxed, PBE-GGA.

abc: 7.480 7.480 7.480
angles: 146.05 146.05 48.78
Positions (direct):
Tl (0.250, 0.750, 0.500)
Tl (0.750, 0.250, 0.500)
Ag (0.097, 0.097, 0.000)
Ag (0.903, 0.903, 0.000)
Sb (0.500, 0.500, 0.000)

Entry 10:
TlAg4Sb: relaxed, PBE-GGA.

abc: 5.682 5.682 5.682
angles: 60.00 60.00 60.00
Positions (direct):
Tl (0.000, 0.000, 0.000)
Ag (0.125, 0.625, 0.625)
Ag (0.625, 0.125, 0.625)
Ag (0.625, 0.625, 0.125)
Ag (0.625, 0.625, 0.625)
Sb (0.250, 0.250, 0.250)

Entry 11:
Tl3AgSb2: relaxed, PBE-GGA.

abc: 8.067 8.067 6.989
angles: 115.49 115.49 86.27
Positions (direct):
Tl (0.101, 0.899, 0.750)
Tl (0.326, 0.347, 0.586)
Tl (0.347, 0.326, 0.086)
Tl (0.653, 0.674, 0.914)
Tl (0.674, 0.653, 0.414)
Tl (0.899, 0.101, 0.250)
Ag (0.221, 0.779, 0.250)
Ag (0.779, 0.221, 0.750)
Sb (0.000, 0.500, 0.230)
Sb (0.000, 0.500, 0.770)
Sb (0.500, 0.000, 0.270)
Sb (0.500, 0.000, 0.730)

Entry 12:
Tl8AgSb2: relaxed, PBE-GGA.

abc: 9.569 9.569 7.269
angles: 106.03 106.03 31.91
Positions (direct):
Tl (0.017, 0.017, 0.273)
Tl (0.197, 0.197, 0.776)
Tl (0.345, 0.345, 0.542)
Tl (0.409, 0.409, 0.047)
Tl (0.591, 0.591, 0.953)
Tl (0.655, 0.655, 0.458)
Tl (0.803, 0.803, 0.224)
Tl (0.983, 0.983, 0.727)
Ag (0.500, 0.500, 0.500)
Sb (0.186, 0.186, 0.210)
Sb (0.814, 0.814, 0.790)

Entry 13:
TlAg3Sb3: relaxed, PBE-GGA.

abc: 7.687 7.687 7.687
angles: 90.00 90.00 90.00
Positions (direct):
Tl (0.000, 0.000, 0.000)
Tl (0.500, 0.500, 0.500)
Ag (0.000, 0.250, 0.500)
Ag (0.000, 0.750, 0.500)
Ag (0.250, 0.500, 0.000)
Ag (0.500, 0.000, 0.250)
Ag (0.500, 0.000, 0.750)
Ag (0.750, 0.500, 0.000)
Sb (0.000, 0.500, 0.250)
Sb (0.000, 0.500, 0.750)
Sb (0.250, 0.000, 0.500)
Sb (0.500, 0.250, 0.000)
Sb (0.500, 0.750, 0.000)
Sb (0.750, 0.000, 0.500)

Entry 14:
Tl3Ag2Sb3: relaxed, PBE-GGA.

abc: 8.985 16.681 6.001
angles: 90.00 90.00 90.00
Positions (direct):
Tl (0.032, 0.123, 0.094)
Tl (0.032, 0.377, 0.094)
Tl (0.188, 0.250, 0.587)
Tl (0.312, 0.750, 0.087)
Tl (0.468, 0.623, 0.594)
Tl (0.468, 0.877, 0.594)
Tl (0.532, 0.123, 0.406)
Tl (0.532, 0.377, 0.406)
Tl (0.688, 0.250, 0.913)
Tl (0.812, 0.750, 0.413)
Tl (0.968, 0.623, 0.906)
Tl (0.968, 0.877, 0.906)
Ag (0.058, 0.609, 0.398)
Ag (0.058, 0.891, 0.398)
Ag (0.442, 0.109, 0.898)
Ag (0.442, 0.391, 0.898)
Ag (0.558, 0.609, 0.102)
Ag (0.558, 0.891, 0.102)
Ag (0.942, 0.109, 0.602)
Ag (0.942, 0.391, 0.602)
Sb (0.180, 0.750, 0.583)
Sb (0.215, 0.024, 0.614)
Sb (0.215, 0.476, 0.614)
Sb (0.285, 0.524, 0.114)
Sb (0.285, 0.976, 0.114)
Sb (0.320, 0.250, 0.083)
Sb (0.680, 0.750, 0.917)
Sb (0.715, 0.024, 0.886)
Sb (0.715, 0.476, 0.886)
Sb (0.785, 0.524, 0.386)
Sb (0.785, 0.976, 0.386)
Sb (0.820, 0.250, 0.417)

Entry 15:
Tl3Ag2Sb4: relaxed, PBE-GGA.

abc: 9.202 9.202 6.858
angles: 95.79 95.79 68.42
Positions (direct):
Tl (0.023, 0.977, 0.750)
Tl (0.302, 0.507, 0.425)
Tl (0.493, 0.698, 0.075)
Tl (0.507, 0.302, 0.925)
Tl (0.698, 0.493, 0.575)
Tl (0.977, 0.023, 0.250)
Ag (0.026, 0.344, 0.400)
Ag (0.344, 0.026, 0.900)
Ag (0.656, 0.974, 0.100)
Ag (0.974, 0.656, 0.600)
Sb (0.116, 0.325, 0.797)
Sb (0.149, 0.624, 0.964)
Sb (0.325, 0.116, 0.297)
Sb (0.376, 0.851, 0.536)
Sb (0.624, 0.149, 0.464)
Sb (0.675, 0.884, 0.703)
Sb (0.851, 0.376, 0.036)
Sb (0.884, 0.675, 0.203)

Entry 16:
Tl2Ag2Sb: relaxed, PBE-GGA.

abc: 7.398 7.398 4.752
angles: 90.00 90.00 90.00
Positions (direct):
Tl (0.167, 0.333, 0.000)
Tl (0.333, 0.833, 0.000)
Tl (0.667, 0.167, 0.000)
Tl (0.833, 0.667, 0.000)
Ag (0.138, 0.638, 0.500)
Ag (0.362, 0.138, 0.500)
Ag (0.638, 0.862, 0.500)
Ag (0.862, 0.362, 0.500)
Sb (0.000, 0.000, 0.500)
Sb (0.500, 0.500, 0.500)

Entry 17:
Tl3AgSb3: relaxed, PBE-GGA.

abc: 6.483 6.483 14.907
angles: 107.12 107.12 46.86
Positions (direct):
Tl (0.028, 0.028, 0.373)
Tl (0.088, 0.088, 0.908)
Tl (0.264, 0.264, 0.227)
Tl (0.736, 0.736, 0.773)
Tl (0.912, 0.912, 0.092)
Tl (0.972, 0.972, 0.627)
Ag (0.232, 0.232, 0.604)
Ag (0.768, 0.768, 0.396)
Sb (0.371, 0.371, 0.467)
Sb (0.378, 0.378, 0.938)
Sb (0.437, 0.437, 0.766)
Sb (0.563, 0.563, 0.234)
Sb (0.622, 0.622, 0.062)
Sb (0.629, 0.629, 0.533)

Entry 18:
Tl2Ag2Sb: relaxed, PBE-GGA.

abc: 9.177 9.177 9.177
angles: 155.57 155.57 34.83
Positions (direct):
Tl (0.107, 0.107, 0.000)
Tl (0.893, 0.893, 0.000)
Ag (0.250, 0.750, 0.500)
Ag (0.750, 0.250, 0.500)
Sb (0.500, 0.500, 0.000)

Entry 19:
Tl8AgSb2: relaxed, PBE-GGA.

abc: 7.348 7.348 7.045
angles: 98.85 98.85 78.00
Positions (direct):
Tl (0.103, 0.103, 0.363)
Tl (0.181, 0.606, 0.289)
Tl (0.211, 0.211, 0.963)
Tl (0.394, 0.819, 0.711)
Tl (0.606, 0.181, 0.289)
Tl (0.789, 0.789, 0.037)
Tl (0.819, 0.394, 0.711)
Tl (0.897, 0.897, 0.637)
Ag (0.500, 0.500, 0.000)
Sb (0.359, 0.359, 0.629)
Sb (0.641, 0.641, 0.371)

Entry 20:
Tl2Ag2Sb: relaxed, PBE-GGA.

abc: 8.976 8.976 3.121
angles: 90.00 90.00 90.00
Positions (direct):
Tl (0.185, 0.315, 0.000)
Tl (0.315, 0.815, 0.000)
Tl (0.685, 0.185, 0.000)
Tl (0.815, 0.685, 0.000)
Ag (0.111, 0.611, 0.500)
Ag (0.389, 0.111, 0.500)
Ag (0.611, 0.889, 0.500)
Ag (0.889, 0.389, 0.500)
Sb (0.000, 0.000, 0.000)
Sb (0.500, 0.500, 0.000)

| no. | mass density (Mg/m³) | ΔE_f (raw) (eV/atom) | total energy (eV per formula unit) |
| --- | --- | --- | --- |
| 1 | 6.405 | 1.0134 | -15.50 |
| 2 | 5.993 | 0.2922 | -21.65 |
| 3 | 7.510 | 0.1829 | -24.70 |
| 4 | 7.119 | 0.1077 | -25.08 |
| 5 | 6.380 | -0.0380 | -50.87 |
| 6 | 7.070 | 0.8754 | -15.71 |
| 7 | 9.440 | 0.2980 | -14.65 |
| 8 | 9.343 | 0.0277 | -25.04 |
| 9 | 9.535 | 0.2676 | -13.22 |
| 10 | 9.698 | 0.0789 | -17.42 |
| 11 | 8.740 | 0.0771 | -17.73 |
| 12 | 9.789 | 0.0304 | -29.69 |
| 13 | 6.531 | 0.2903 | -21.25 |
| 14 | 8.818 | 0.0425 | -24.83 |
| 15 | 8.154 | 0.0373 | -28.96 |
| 16 | 9.530 | 0.0924 | -14.10 |
| 17 | 8.331 | 0.0252 | -22.14 |
| 18 | 9.382 | 0.1827 | -13.64 |
| 19 | 9.044 | 0.0652 | -29.31 |
| 20 | 9.855 | 0.2291 | -13.41 |